[1]
# Sr2Li2ErIn5 GGA-PBE relaxed
data_Sr2Li2ErIn5
_chemical_formula_sum 'Sr4 Li4 Er2 In10'
_cell_length_a 11.527
_cell_length_b 11.527
_cell_length_c 3.965
_cell_angle_alpha 90.00
_cell_angle_beta 90.00
_cell_angle_gamma 90.00
_symmetry_space_group_name_H-M 'P 4/m b m'
_symmetry_Int_Tables_number 127
_symmetry_space_group_name_Hall '-P 4 2ab'
loop_
_atom_site_label
_atom_site_fract_x
_atom_site_fract_y
_atom_site_fract_z
Sr1 0.178 0.322 0.000
Li1 0.121 0.621 0.000
Er1 0.000 0.000 0.000
In1 0.000 0.500 0.500
In2 0.063 0.790 0.500
# density of states at the Fermi level = 8.2 states/eV/cell
# spin magnetization = 0.0 Bohr magnetons per cell
# E = -2.912 eV/atom

***

[2]
# CaCeHo2Hg4 GGA-PBE relaxed
data_CaCeHo2Hg4
_chemical_formula_sum 'Ca3 Ce3 Ho6 Hg12'
_cell_length_a 5.3042
_cell_length_b 5.3042
_cell_length_c 26.1536
_cell_angle_alpha 90.00
_cell_angle_beta 90.00
_cell_angle_gamma 120.00
_symmetry_space_group_name_H-M 'R -3 m'
_symmetry_Int_Tables_number 166
_symmetry_space_group_name_Hall '-R 3 2"'
loop_
_atom_site_label
_atom_site_fract_x
_atom_site_fract_y
_atom_site_fract_z
Ca1 0.0000 0.0000 0.0000
Ce1 0.0000 0.0000 0.5000
Ho1 0.0000 0.0000 0.2517
Hg1 0.0000 0.0000 0.1239
Hg2 0.0000 0.0000 0.3751
# density of states at the Fermi level = 36.2 states/eV/cell
# spin magnetization = 3.2 Bohr magnetons per cell
# E = -2.733 eV/atom